PBE IrOs2PbC, relaxed; ΔE_f = 0.8023 eV/atom; crystal system = tetragonal; DFT total energy = -8.048 eV per atom
1.0
4.203 0.000 0.000
0.000 4.190 0.000
0.000 0.000 4.203
Pb C Ir Os
1 1 1 2
Direct
0.500 0.500 0.500
0.000 0.000 0.000
0.000 0.500 0.000
0.000 0.000 0.500
0.500 0.000 0.000